First-principles (SCAN) data for a PBEsol-optimized structure of MnTl3, as listed in the Alexandria database.

a = 3.1398 Å, b = 4.6640 Å, c = 13.3587 Å
α = 90.00°, β = 90.00°, γ = 90.00°
Fractional positions:
Mn1 0.0000 0.0000 0.0000
Mn2 0.5000 0.5000 0.5000
Tl1 0.0000 0.0000 0.5000
Tl2 0.0000 0.5000 0.3140
Tl3 0.0000 0.5000 0.6860
Tl4 0.5000 0.0000 0.1860
Tl5 0.5000 0.0000 0.8140
Tl6 0.5000 0.5000 0.0000

Computed properties:
- formation enthalpy at 0 K (eV per atom) = 0.13
- total moment (μB/atom) = 0.96